Record 1
The following is a PBE calculation of an optimized crystal structure of La4SiGe, from Alexandria.

Structure (CIF):
```
data_La4SiGe
_chemical_formula_sum 'La8 Si2 Ge2'
_symmetry_space_group_name_H-M 'P m m n'
_symmetry_Int_Tables_number 59
_cell_length_a 5.3132
_cell_length_b 6.8267
_cell_length_c 9.3331
_cell_angle_alpha 90.00
_cell_angle_beta 90.00
_cell_angle_gamma 90.00
loop_
_symmetry_equiv_pos_as_xyz
'x,y,z'
'-x,-y,-z'
'-x+1/2,-y+1/2,z'
'x+1/2,y+1/2,-z'
'x+1/2,-y,-z'
'-x+1/2,y,z'
'-x,y+1/2,-z'
'x,-y+1/2,z'
loop_
_atom_site_label
_atom_site_type_symbol
_atom_site_fract_x
_atom_site_fract_y
_atom_site_fract_z
La1 La 0.2500 0.0159 0.2206
La2 La 0.2500 0.2500 0.8999
La3 La 0.2500 0.7500 0.5750
Si1 Si 0.2500 0.7500 0.9110
Ge1 Ge 0.2500 0.2500 0.5760
```

Computed properties:
ρ: 6.44 g/cm³
E_form (uncorrected): -0.5117 eV/atom
Distance to the lowest polymorph of the same formula: 29 meV/atom

=====

Record 2
The following is a PBE calculation of an optimized crystal structure of K2RbNbF8, from Alexandria.

Structure (CIF):
```
data_K2RbNbF8
_chemical_formula_sum 'K2 Rb1 Nb1 F8'
_symmetry_space_group_name_H-M 'P 1 2/m 1'
_symmetry_Int_Tables_number 10
_cell_length_a 4.7433
_cell_length_b 8.5830
_cell_length_c 6.1843
_cell_angle_alpha 90.00
_cell_angle_beta 96.00
_cell_angle_gamma 90.00
loop_
_symmetry_equiv_pos_as_xyz
'x,y,z'
'-x,-y,-z'
'-x,y,-z'
'x,-y,z'
loop_
_atom_site_label
_atom_site_type_symbol
_atom_site_fract_x
_atom_site_fract_y
_atom_site_fract_z
K1 K 0.0000 0.2252 0.0000
Rb1 Rb 0.5000 0.0000 0.5000
Nb1 Nb 0.5000 0.5000 0.5000
F1 F 0.0298 0.0000 0.7549
F2 F 0.1497 0.5000 0.3073
F3 F 0.3706 0.3377 0.6852
```

Computed properties:
ρ: 2.71 g/cm³
E_form (uncorrected): -2.9109 eV/atom

=====

Record 3
The following is a PBE calculation of an optimized crystal structure of Sr2YP3Pt12, from Alexandria.

Structure (CIF):
```
data_Sr2YP3Pt12
_chemical_formula_sum 'Sr6 Y3 P9 Pt36'
_symmetry_space_group_name_H-M 'R -3 m'
_symmetry_Int_Tables_number 166
_symmetry_space_group_name_Hall '-R 3 2"'
_cell_length_a 8.3864
_cell_length_b 8.3864
_cell_length_c 18.3047
_cell_angle_alpha 90.00
_cell_angle_beta 90.00
_cell_angle_gamma 120.00
loop_
_atom_site_label
_atom_site_type_symbol
_atom_site_fract_x
_atom_site_fract_y
_atom_site_fract_z
Sr1 Sr 0.0000 0.0000 0.0994
Y1 Y 0.0000 0.0000 0.5000
P1 P 0.0000 0.5000 0.0000
Pt1 Pt 0.0212 0.5106 0.8751
Pt2 Pt 0.0464 0.5232 0.3571
```

Computed properties:
ρ: 12.06 g/cm³
Calculated formation energy: -402 meV per atom

=====

Record 4
The following is a PBE calculation of an optimized crystal structure of Th2TcNi, from Alexandria.

Structure (CIF):
```
data_Th2TcNi
_chemical_formula_sum 'Th4 Tc2 Ni2'
_symmetry_space_group_name_H-M 'P 1 21/m 1'
_symmetry_Int_Tables_number 11
_cell_length_a 5.9765
_cell_length_b 4.0670
_cell_length_c 7.7295
_cell_angle_alpha 90.00
_cell_angle_beta 108.11
_cell_angle_gamma 90.00
loop_
_symmetry_equiv_pos_as_xyz
'x,y,z'
'-x,-y,-z'
'-x,y+1/2,-z'
'x,-y+1/2,z'
loop_
_atom_site_label
_atom_site_type_symbol
_atom_site_fract_x
_atom_site_fract_y
_atom_site_fract_z
Th1 Th 0.2263 0.2500 0.4289
Th2 Th 0.2270 0.2500 0.9342
Tc1 Tc 0.3268 0.7500 0.2116
Ni1 Ni 0.3236 0.7500 0.7024
```

Computed properties:
ρ: 11.55 g/cm³
Calculated formation energy: -309 meV per atom

=====

ρ of number 1 (La4SiGe)?
6.44 g/cm³

=====

What is the ρ in the fourth record?
11.55 g/cm³

=====

Look up the ρ of the second one.
2.71 g/cm³

=====

Which value of ρ does entry 2 give?
2.71 g/cm³